Model A:
First-principles (PBE) data for a relaxed Os3AuO crystal, as listed in the Alexandria database.

abc: 4.1307 4.1307 4.1307
angles: 90.00 90.00 90.00
Space group Pm-3m (No. 221)
Symmetry-distinct sites (fractional):
Os 0.0000 0.0000 0.5000 (multiplicity 3)
Au 0.5000 0.5000 0.5000 (multiplicity 1)
O 0.0000 0.0000 0.0000 (multiplicity 1)

Computed properties:
DOS at the Fermi energy (states/eV per cell): 4.77
Total magnetic moment (μB per cell): 1.44

Model B:
First-principles (PBE) data for a relaxed Os3AuO crystal, as listed in the Alexandria database.

abc: 4.9309 4.9309 4.9309
angles: 90.00 90.00 90.00
Space group Pm-3m (No. 221)
Symmetry-distinct sites (fractional):
Os 0.0000 0.0000 0.5000 (multiplicity 3)
Au 0.0000 0.0000 0.0000 (multiplicity 1)
O 0.5000 0.5000 0.5000 (multiplicity 1)

Computed properties:
DOS at the Fermi energy (states/eV per cell): 7.22
Total magnetic moment (μB per cell): 8.97

Relative stability in eV/atom, measured from the most stable structure: model A 0.000; model B 2.432

Model A:
First-principles (PBE) data for a relaxed P2OsAuO crystal, as listed in the Alexandria database.

abc: 4.7746 4.7746 3.8281
angles: 90.00 90.00 90.00
Space group P4/mmm (No. 123)
Symmetry-distinct sites (fractional):
P 0.0000 0.5000 0.0000 (multiplicity 2)
Os 0.0000 0.0000 0.5000 (multiplicity 1)
Au 0.5000 0.5000 0.0000 (multiplicity 1)
O 0.5000 0.5000 0.5000 (multiplicity 1)

Computed properties:
DOS at the Fermi energy (states/eV per cell): 4.64
Total magnetic moment (μB per cell): 2.06

Model B:
First-principles (PBE) data for a relaxed P2OsAuO crystal, as listed in the Alexandria database.

abc: 4.7663 4.7663 3.6695
angles: 90.00 90.00 90.00
Space group P4/mmm (No. 123)
Symmetry-distinct sites (fractional):
P 0.0000 0.5000 0.0000 (multiplicity 2)
Os 0.0000 0.0000 0.0000 (multiplicity 1)
Au 0.5000 0.5000 0.5000 (multiplicity 1)
O 0.0000 0.0000 0.5000 (multiplicity 1)

Computed properties:
DOS at the Fermi energy (states/eV per cell): 2.71
Total magnetic moment (μB per cell): 0.00

Relative stability in eV/atom, measured from the most stable structure: model A 1.301; model B 0.000

Model A:
First-principles (PBE) data for a relaxed P2AuO2 crystal, as listed in the Alexandria database.

abc: 3.4694 3.4694 5.1297
angles: 90.00 90.00 90.00
Space group P4/mmm (No. 123)
Symmetry-distinct sites (fractional):
P 0.0000 0.0000 0.0000 (multiplicity 1)
P 0.0000 0.0000 0.5000 (multiplicity 1)
Au 0.5000 0.5000 0.0000 (multiplicity 1)
O 0.0000 0.5000 0.5000 (multiplicity 2)

Computed properties:
DOS at the Fermi energy (states/eV per cell): 2.38
Total magnetic moment (μB per cell): 0.00

Model B:
First-principles (PBE) data for a relaxed P2AuO2 crystal, as listed in the Alexandria database.

abc: 3.9413 3.9413 5.0240
angles: 90.00 90.00 90.00
Space group P4/mmm (No. 123)
Symmetry-distinct sites (fractional):
P 0.0000 0.0000 0.0000 (multiplicity 1)
P 0.5000 0.5000 0.0000 (multiplicity 1)
Au 0.0000 0.0000 0.5000 (multiplicity 1)
O 0.0000 0.5000 0.5000 (multiplicity 2)

Computed properties:
DOS at the Fermi energy (states/eV per cell): 2.65
Total magnetic moment (μB per cell): 0.00

Model C:
First-principles (PBE) data for a relaxed P2AuO2 crystal, as listed in the Alexandria database.

abc: 4.8068 4.8068 3.9220
angles: 90.00 90.00 90.00
Space group P4/mmm (No. 123)
Symmetry-distinct sites (fractional):
P 0.0000 0.5000 0.0000 (multiplicity 2)
Au 0.0000 0.0000 0.0000 (multiplicity 1)
O 0.0000 0.0000 0.5000 (multiplicity 1)
O 0.5000 0.5000 0.5000 (multiplicity 1)

Computed properties:
DOS at the Fermi energy (states/eV per cell): 4.39
Total magnetic moment (μB per cell): 0.00

Relative stability in eV/atom, measured from the most stable structure: model A 0.000; model B 1.211; model C 1.769

Model A:
First-principles (PBE) data for a relaxed P2PbAuO crystal, as listed in the Alexandria database.

abc: 4.9880 4.9880 4.0437
angles: 90.00 90.00 90.00
Space group P4/mmm (No. 123)
Symmetry-distinct sites (fractional):
P 0.0000 0.5000 0.0000 (multiplicity 2)
Pb 0.0000 0.0000 0.5000 (multiplicity 1)
Au 0.5000 0.5000 0.0000 (multiplicity 1)
O 0.5000 0.5000 0.5000 (multiplicity 1)

Computed properties:
DOS at the Fermi energy (states/eV per cell): 6.15
Total magnetic moment (μB per cell): 0.50

Model B:
First-principles (PBE) data for a relaxed P2PbAuO crystal, as listed in the Alexandria database.

abc: 5.2923 5.2923 4.0485
angles: 90.00 90.00 90.00
Space group P4/mmm (No. 123)
Symmetry-distinct sites (fractional):
P 0.0000 0.5000 0.0000 (multiplicity 2)
Pb 0.0000 0.0000 0.0000 (multiplicity 1)
Au 0.5000 0.5000 0.5000 (multiplicity 1)
O 0.0000 0.0000 0.5000 (multiplicity 1)

Computed properties:
DOS at the Fermi energy (states/eV per cell): 4.81
Total magnetic moment (μB per cell): 0.00

Relative stability in eV/atom, measured from the most stable structure: model A 0.000; model B 0.425

Model A:
First-principles (PBE) data for a relaxed RbP2AuO crystal, as listed in the Alexandria database.

abc: 4.8604 4.8604 4.7486
angles: 90.00 90.00 90.00
Space group P4/mmm (No. 123)
Symmetry-distinct sites (fractional):
Rb 0.0000 0.0000 0.0000 (multiplicity 1)
P 0.0000 0.5000 0.5000 (multiplicity 2)
Au 0.5000 0.5000 0.5000 (multiplicity 1)
O 0.5000 0.5000 0.0000 (multiplicity 1)

Computed properties:
DOS at the Fermi energy (states/eV per cell): 3.80
Total magnetic moment (μB per cell): 1.39

Model B:
First-principles (PBE) data for a relaxed RbP2AuO crystal, as listed in the Alexandria database.

abc: 5.4077 5.4077 4.2359
angles: 90.00 90.00 90.00
Space group P4/mmm (No. 123)
Symmetry-distinct sites (fractional):
Rb 0.0000 0.0000 0.0000 (multiplicity 1)
P 0.0000 0.5000 0.0000 (multiplicity 2)
Au 0.5000 0.5000 0.5000 (multiplicity 1)
O 0.0000 0.0000 0.5000 (multiplicity 1)

Computed properties:
DOS at the Fermi energy (states/eV per cell): 4.45
Total magnetic moment (μB per cell): 1.29

Relative stability in eV/atom, measured from the most stable structure: model A 0.000; model B 1.296

Model A:
First-principles (PBE) data for a relaxed ReP2AuO crystal, as listed in the Alexandria database.

abc: 4.7640 4.7640 3.7132
angles: 90.00 90.00 90.00
Space group P4/mmm (No. 123)
Symmetry-distinct sites (fractional):
Re 0.0000 0.0000 0.0000 (multiplicity 1)
P 0.0000 0.5000 0.0000 (multiplicity 2)
Au 0.5000 0.5000 0.5000 (multiplicity 1)
O 0.0000 0.0000 0.5000 (multiplicity 1)

Computed properties:
DOS at the Fermi energy (states/eV per cell): 1.92
Total magnetic moment (μB per cell): 0.00

Model B:
First-principles (PBE) data for a relaxed ReP2AuO crystal, as listed in the Alexandria database.

abc: 4.7968 4.7968 3.8622
angles: 90.00 90.00 90.00
Space group P4/mmm (No. 123)
Symmetry-distinct sites (fractional):
Re 0.0000 0.0000 0.0000 (multiplicity 1)
P 0.0000 0.5000 0.5000 (multiplicity 2)
Au 0.5000 0.5000 0.5000 (multiplicity 1)
O 0.5000 0.5000 0.0000 (multiplicity 1)

Computed properties:
DOS at the Fermi energy (states/eV per cell): 3.50
Total magnetic moment (μB per cell): 2.69

Relative stability in eV/atom, measured from the most stable structure: model A 0.000; model B 1.435